(1)
The following is a PBE calculation of a relaxed structure of Sr2HfBr, from the Alexandria database.

The distance to the lowest polymorph of the same formula comes out at 0.000 eV per atom. The calculation puts the volume at 37.6 Å³/atom. The energy relative to the elements, uncorrected is 0.2344 eV/atom. The value obtained for the energy is -3.51 eV/atom.

It has space group I-42d (No. 122), with a = 8.964 Å, b = 8.964 Å, c = 7.488 Å, α = 90.00°, β = 90.00° and γ = 90.00°. The distinct sites, in fractional coordinates, are Sr at (0.201, 0.750, 0.125), Hf at (0.000, 0.000, 0.500) and Br at (0.000, 0.000, 0.000).



(2)
The following is a PBE calculation of a relaxed structure of MgCr, from the Alexandria database.

The distance to the lowest polymorph of the same formula comes out at 0.391 eV per atom. The calculation puts the volume at 19.0 Å³/atom. Its formation energy is 1.27 eV/f.u. The value obtained for the energy is -4.97 eV/atom.

It has space group Imma (No. 74), with a = 3.253 Å, b = 4.793 Å, c = 9.767 Å, α = 90.00°, β = 90.00° and γ = 90.00°. The distinct sites, in fractional coordinates, are Mg at (0.000, 0.250, 0.119) and Cr at (0.000, 0.250, 0.625).



(3)
The following is a PBE calculation of a relaxed structure of K3PuCu2O9, from the Alexandria database.

The calculation puts the volume at 13.0 Å³/atom. The energy relative to the elements, uncorrected is -1.2301 eV/atom. The value obtained for the energy is -5.93 eV/atom.

It has space group P-3m1 (No. 164), with a = 5.6580 Å, b = 5.6580 Å, c = 7.0371 Å, α = 90.00°, β = 90.00° and γ = 120.00°. The distinct sites, in fractional coordinates, are K at (0.0000, 0.0000, 0.0000), K at (0.3333, 0.6667, 0.6812), Pu at (0.0000, 0.0000, 0.5000), Cu at (0.3333, 0.6667, 0.1616), O at (0.0000, 0.5000, 0.0000) and O at (0.1655, 0.3310, 0.3352).



The lowest energy belongs to which entry? K3PuCu2O9



Which of these has the lowest energy? K3PuCu2O9